No. 1
YFeNO2 | PBE+U | optimized geometry

Values from the calculation:
N(E_F) (states/eV/cell): 4.981
DFT total energy (eV per cell): -29.00

Unit cell a=4.1515 b=4.1515 c=8.4623 alpha=90.00 beta=90.00 gamma=90.00
Space group P4/mmm (No. 123)
Inequivalent atoms, fractional coordinates:
Y 0.0000 0.0000 0.0000 [1 per cell]
Fe 0.0000 0.0000 0.5000 [1 per cell]
N 0.5000 0.5000 0.5000 [1 per cell]
O 0.0000 0.5000 0.0000 [2 per cell]

No. 2
YFeNO2 | PBE+U | optimized geometry

Values from the calculation:
N(E_F) (states/eV/cell): 2.536
DFT total energy (eV per cell): -32.02

Unit cell a=4.3384 b=4.3384 c=4.4759 alpha=90.00 beta=90.00 gamma=90.00
Space group P4/mmm (No. 123)
Inequivalent atoms, fractional coordinates:
Y 0.0000 0.0000 0.0000 [1 per cell]
Fe 0.5000 0.5000 0.5000 [1 per cell]
N 0.0000 0.0000 0.5000 [1 per cell]
O 0.0000 0.5000 0.0000 [2 per cell]

No. 3
YFeN2O | PBE+U | optimized geometry

Values from the calculation:
N(E_F) (states/eV/cell): 1.245
DFT total energy (eV per cell): -36.82

Unit cell a=3.7860 b=3.7860 c=3.9123 alpha=90.00 beta=90.00 gamma=90.00
Space group P4/mmm (No. 123)
Inequivalent atoms, fractional coordinates:
Y 0.0000 0.0000 0.0000 [1 per cell]
Fe 0.5000 0.5000 0.5000 [1 per cell]
N 0.0000 0.5000 0.5000 [2 per cell]
O 0.5000 0.5000 0.0000 [1 per cell]

No. 4
YFeN2O | PBE+U | optimized geometry

Values from the calculation:
N(E_F) (states/eV/cell): 6.973
DFT total energy (eV per cell): -29.68

Unit cell a=4.4675 b=4.4675 c=4.2652 alpha=90.00 beta=90.00 gamma=90.00
Space group P4/mmm (No. 123)
Inequivalent atoms, fractional coordinates:
Y 0.0000 0.0000 0.0000 [1 per cell]
Fe 0.5000 0.5000 0.5000 [1 per cell]
N 0.0000 0.5000 0.0000 [2 per cell]
O 0.0000 0.0000 0.5000 [1 per cell]

No. 5
ZrFeN2O | PBE+U | optimized geometry

Values from the calculation:
N(E_F) (states/eV/cell): 2.600
DFT total energy (eV per cell): -35.86

Unit cell a=4.2216 b=4.2216 c=4.1115 alpha=90.00 beta=90.00 gamma=90.00
Space group P4/mmm (No. 123)
Inequivalent atoms, fractional coordinates:
Zr 0.0000 0.0000 0.0000 [1 per cell]
Fe 0.5000 0.5000 0.5000 [1 per cell]
N 0.0000 0.5000 0.0000 [2 per cell]
O 0.0000 0.0000 0.5000 [1 per cell]

No. 6
ZrFeN2O | PBE+U | optimized geometry

Values from the calculation:
N(E_F) (states/eV/cell): 1.107
DFT total energy (eV per cell): -37.44

Unit cell a=3.8029 b=3.8029 c=3.6810 alpha=90.00 beta=90.00 gamma=90.00
Space group P4/mmm (No. 123)
Inequivalent atoms, fractional coordinates:
Zr 0.0000 0.0000 0.0000 [1 per cell]
Fe 0.5000 0.5000 0.5000 [1 per cell]
N 0.0000 0.5000 0.5000 [2 per cell]
O 0.5000 0.5000 0.0000 [1 per cell]